Version A
A relaxed Rb2NbI6Br crystal. Source: the Alexandria database, functional PBE-GGA.

a b c (Å): 9.973 9.974 7.877
angles (deg): 50.38 50.51 60.08
Fractional positions:
1 Rb 0.614 0.611 0.163
2 Rb 0.020 0.021 0.941
3 Nb 0.316 0.316 0.051
4 I 0.460 0.184 0.351
5 I 0.181 0.005 0.356
6 I 0.006 0.461 0.350
7 I 0.451 0.628 0.746
8 I 0.627 0.171 0.753
9 I 0.172 0.448 0.752
10 Br 0.815 0.816 0.552

Output
space group	P1
calculated volume	460.0	Å³/cell

Version B
A relaxed Rb2NbI6Br crystal. Source: the Alexandria database, functional PBE-GGA.

a b c (Å): 8.855 8.855 8.890
angles (deg): 60.13 60.13 90.00
Fractional positions:
1 I 0.222 0.222 0.556
2 I 0.778 0.778 0.444
3 I 0.224 0.224 0.000
4 I 0.776 0.776 0.000
5 I 0.776 0.224 0.000
6 I 0.224 0.776 0.000
7 Nb 0.000 0.000 0.000
8 Br 0.500 0.500 0.000
9 Rb 0.750 0.250 0.500
10 Rb 0.250 0.750 0.500

Output
space group	I4/mmm
calculated volume	494.8	Å³/cell

Going by the energies, version A is most stable and the next is 0.098 eV/atom up.

Version A
A relaxed NbSbI2Br crystal. Source: the Alexandria database, functional PBE-GGA.

a b c (Å): 5.438 5.438 5.585
angles (deg): 90.00 90.00 90.00
Fractional positions:
1 I 0.000 0.500 0.000
2 I 0.500 0.000 0.000
3 Sb 0.000 0.000 0.500
4 Nb 0.000 0.000 0.000
5 Br 0.500 0.500 0.500

Output
space group	P4/mmm
calculated volume	165.1	Å³/cell

Version B
A relaxed NbSbI2Br crystal. Source: the Alexandria database, functional PBE-GGA.

a b c (Å): 5.838 5.531 5.838
angles (deg): 90.00 90.00 90.00
Each line ends with the local moment (μB).
Fractional positions:
1 I 0.000 0.000 0.500  -0.07
2 I 0.500 0.000 0.000  -0.07
3 Sb 0.000 0.500 0.000  -0.37
4 Nb 0.500 0.500 0.500  2.84
5 Br 0.000 0.000 0.000  0.00

Output
space group	P4/mmm
calculated volume	188.5	Å³/cell

Going by the energies, version A is most stable and the next is 1.218 eV/atom up.

Version A
A relaxed NbSeIBr2 crystal. Source: the Alexandria database, functional PBE-GGA.

a b c (Å): 5.212 5.212 5.112
angles (deg): 90.00 90.00 90.00
Fractional positions:
1 I 0.500 0.500 0.500
2 Nb 0.000 0.000 0.000
3 Se 0.000 0.000 0.500
4 Br 0.000 0.500 0.000
5 Br 0.500 0.000 0.000

Output
space group	P4/mmm
calculated volume	138.9	Å³/cell

Version B
A relaxed NbSeIBr2 crystal. Source: the Alexandria database, functional PBE-GGA.

a b c (Å): 5.669 5.669 5.503
angles (deg): 90.00 90.00 90.00
Each line ends with the local moment (μB).
Fractional positions:
1 I 0.000 0.000 0.000  0.01
2 Nb 0.500 0.500 0.500  3.01
3 Se 0.000 0.000 0.500  -0.08
4 Br 0.000 0.500 0.000  0.00
5 Br 0.500 0.000 0.000  0.00

Output
space group	P4/mmm
calculated volume	176.9	Å³/cell

Going by the energies, version A is most stable and the next is 1.313 eV/atom up.

Version A
A relaxed Nd2I2Br3 crystal. Source: the Alexandria database, functional PBE-GGA.

a b c (Å): 4.580 4.560 15.067
angles (deg): 90.00 98.82 90.00
Fractional positions:
1 Nd 0.107 0.000 0.200
2 Nd 0.893 0.000 0.800
3 I 0.403 0.500 0.819
4 I 0.597 0.500 0.181
5 Br 0.190 0.000 0.378
6 Br 0.000 0.000 0.000
7 Br 0.810 0.000 0.622

Output
space group	P2/m
calculated volume	310.9	Å³/cell

Version B
A relaxed Nd2I2Br3 crystal. Source: the Alexandria database, functional PBE-GGA.

a b c (Å): 3.939 6.292 11.832
angles (deg): 73.81 80.42 71.76
Fractional positions:
1 Nd 0.115 0.972 0.799
2 Nd 0.885 0.028 0.201
3 I 0.180 0.452 0.188
4 I 0.820 0.548 0.812
5 Br 0.500 0.000 0.000
6 Br 0.398 0.824 0.380
7 Br 0.602 0.176 0.620

Output
space group	C2/m
calculated volume	266.5	Å³/cell

Going by the energies, version B is most stable and the next is 0.133 eV/atom up.

Version A
A relaxed NdI2Br crystal. Source: the Alexandria database, functional PBE-GGA.

a b c (Å): 4.268 8.061 9.961
angles (deg): 90.00 90.00 105.30
Fractional positions:
1 Nd 0.243 0.485 0.750
2 Nd 0.757 0.515 0.250
3 I 0.152 0.303 0.064
4 I 0.848 0.697 0.936
5 I 0.848 0.697 0.564
6 I 0.152 0.303 0.436
7 Br 0.614 0.228 0.750
8 Br 0.386 0.772 0.250

Output
space group	Cmcm
calculated volume	330.6	Å³/cell

Version B
A relaxed NdI2Br crystal. Source: the Alexandria database, functional PBE-GGA.

a b c (Å): 4.096 6.239 7.330
angles (deg): 67.12 76.24 85.63
Fractional positions:
1 Nd 0.633 0.003 0.613
2 I 0.998 0.843 0.966
3 I 0.622 0.503 0.615
4 Br 0.247 0.151 0.306

Output
space group	P1
calculated volume	167.6	Å³/cell

Going by the energies, version A is most stable and the next is 0.098 eV/atom up.

Version A
A relaxed Nd2IBr crystal. Source: the Alexandria database, functional PBE-GGA.

a b c (Å): 3.789 3.789 9.911
angles (deg): 78.98 78.98 60.00
Fractional positions:
1 I 0.500 0.500 0.500
2 Nd 0.747 0.747 0.759
3 Nd 0.253 0.253 0.241
4 Br 0.000 0.000 0.000

Output
space group	R-3m
calculated volume	120.2	Å³/cell

Version B
A relaxed Nd2IBr crystal. Source: the Alexandria database, functional PBE-GGA.

a b c (Å): 3.820 3.820 9.747
angles (deg): 78.70 78.70 60.00
Fractional positions:
1 Nd 0.082 0.082 0.754
2 Nd 0.251 0.251 0.247
3 I 0.500 0.500 0.500
4 Br 0.667 0.667 0.000

Output
space group	R3m
calculated volume	120.0	Å³/cell

Going by the energies, version B is most stable and the next is 0.045 eV/atom up.

Version A
A relaxed NdIBr2 crystal. Source: the Alexandria database, functional PBE-GGA.

a b c (Å): 7.644 7.644 8.334
angles (deg): 108.64 108.64 112.66
Fractional positions:
1 Nd 0.119 0.437 0.417
2 Nd 0.437 0.119 0.917
3 I 0.565 0.888 0.632
4 I 0.888 0.565 0.132
5 Br 0.259 0.255 0.653
6 Br 0.677 0.047 0.211
7 Br 0.255 0.259 0.153
8 Br 0.047 0.677 0.711

Output
space group	Cc
calculated volume	367.2	Å³/cell

Version B
A relaxed NdIBr2 crystal. Source: the Alexandria database, functional PBE-GGA.

a b c (Å): 3.979 7.466 7.466
angles (deg): 62.81 74.58 74.59
Fractional positions:
1 Nd 0.750 0.865 0.635
2 I 0.250 0.177 0.323
3 Br 0.096 0.884 0.925
4 Br 0.404 0.575 0.616

Output
space group	Imm2
calculated volume	187.5	Å³/cell

Going by the energies, version A is most stable and the next is 0.010 eV/atom up.

Version A
A relaxed NiI2Br crystal. Source: the Alexandria database, functional PBE-GGA.

a b c (Å): 6.896 6.896 5.169
angles (deg): 90.00 90.00 147.59
Fractional positions:
1 Ni 0.998 0.998 0.000
2 I 0.367 0.630 0.000
3 I 0.630 0.367 0.000
4 Br 0.003 0.003 0.500

Output
space group	Amm2
calculated volume	131.8	Å³/cell

Version B
A relaxed NiI2Br crystal. Source: the Alexandria database, functional PBE-GGA.

a b c (Å): 3.954 3.954 8.207
angles (deg): 76.06 76.06 60.00
Each line ends with the local moment (μB).
Fractional positions:
1 I 0.272 0.272 0.183  0.13
2 I 0.728 0.728 0.817  0.13
3 Ni 0.000 0.000 0.000  0.69
4 Br 0.500 0.500 0.500  -0.02

Output
space group	R-3m
calculated volume	106.7	Å³/cell

Version C
A relaxed NiI2Br crystal. Source: the Alexandria database, functional PBE-GGA.

a b c (Å): 5.290 5.290 5.290
angles (deg): 60.00 60.00 60.00
Each line ends with the local moment (μB).
Fractional positions:
1 I 0.250 0.250 0.250  0.12
2 I 0.750 0.750 0.750  0.12
3 Ni 0.000 0.000 0.000  1.00
4 Br 0.500 0.500 0.500  0.03

Output
space group	Fm-3m
calculated volume	104.7	Å³/cell

Version D
A relaxed NiI2Br crystal. Source: the Alexandria database, functional PBE-GGA.

a b c (Å): 7.323 7.323 7.227
angles (deg): 59.56 59.56 90.00
Fractional positions:
1 I 0.525 0.125 0.250
2 I 0.225 0.625 0.250
3 I 0.375 0.475 0.750
4 I 0.875 0.775 0.750
5 Ni 0.500 0.500 0.000
6 Ni 0.250 0.750 0.500
7 Br 0.000 0.000 0.000
8 Br 0.750 0.250 0.500

Output
space group	I-42d
calculated volume	270.3	Å³/cell

Going by the energies, version A is most stable and the next is 0.091 eV/atom up.

Version A
A relaxed Ni2IBr crystal. Source: the Alexandria database, functional PBE-GGA.

a b c (Å): 4.759 4.759 4.759
angles (deg): 60.00 60.00 60.00
Each line ends with the local moment (μB).
Fractional positions:
1 I 0.500 0.500 0.500  0.19
2 Ni 0.250 0.250 0.250  0.81
3 Ni 0.750 0.750 0.750  0.81
4 Br 0.000 0.000 0.000  0.20

Output
space group	Fm-3m
calculated volume	76.2	Å³/cell

Version B
A relaxed Ni2IBr crystal. Source: the Alexandria database, functional PBE-GGA.

a b c (Å): 5.672 5.672 6.969
angles (deg): 65.98 65.98 90.00
Each line ends with the local moment (μB).
Fractional positions:
1 I 0.000 0.000 0.000  0.08
2 I 0.750 0.250 0.500  0.08
3 Ni 0.609 0.125 0.250  0.56
4 Ni 0.141 0.625 0.250  0.56
5 Ni 0.375 0.391 0.750  0.56
6 Ni 0.875 0.859 0.750  0.56
7 Br 0.500 0.500 0.000  0.06
8 Br 0.250 0.750 0.500  0.06

Output
space group	I-42d
calculated volume	183.4	Å³/cell

Going by the energies, version B is most stable and the next is 0.528 eV/atom up.

Version A
A relaxed Ni3IBr crystal. Source: the Alexandria database, functional PBE-GGA.

a b c (Å): 4.571 4.571 4.571
angles (deg): 90.00 90.00 90.00
Each line ends with the local moment (μB).
Fractional positions:
1 I 0.500 0.500 0.500  0.17
2 Ni 0.000 0.500 0.000  0.70
3 Ni 0.000 0.000 0.500  0.44
4 Ni 0.500 0.000 0.000  0.62
5 Br 0.000 0.000 0.000  0.05

Output
space group	Pm-3m
calculated volume	95.5	Å³/cell

Version B
A relaxed Ni3IBr crystal. Source: the Alexandria database, functional PBE-GGA.

a b c (Å): 4.798 4.798 4.798
angles (deg): 90.00 90.00 90.00
Each line ends with the local moment (μB).
Fractional positions:
1 I 0.000 0.000 0.000  0.02
2 Ni 0.000 0.500 0.000  0.68
3 Ni 0.000 0.000 0.500  0.49
4 Ni 0.500 0.000 0.000  0.59
5 Br 0.500 0.500 0.500  0.17

Output
space group	Pm-3m
calculated volume	110.4	Å³/cell

Going by the energies, version A is most stable and the next is 0.109 eV/atom up.